A plane-wave DFT calculation with PBE was carried out for a relaxed NdSm2Dy6 crystal.

## Properties
ΔE to the lowest computed polymorph = 0 meV per atom
DFT formation energy = 0.019 eV/atom
crystal system = triclinic
total magnetization = 0.00 μB/cell

POSCAR file:
```
NdSm2Dy6
1.0
4.810 0.003 1.545
2.185 7.551 1.473
0.099 -0.728 7.973
Sm Dy Nd
2 6 1
Cartesian
4.317 3.657 3.090
2.776 3.169 7.901
3.621 0.876 5.260
5.108 5.706 8.906
6.647 6.193 4.100
3.473 5.950 5.731
1.985 1.120 2.085
0.446 0.633 6.891
1.142 3.412 4.723
```